Record 1
Compound: PrNd2Cu2Ge2
Source: Alexandria
Functional: GGA-PBE
Structure: relaxed

a b c (Å): 4.3447 4.3447 10.2710
angles (deg): 77.79 77.79 60.00
Last column: nearest neighbours and their distance in Å.
Fractional positions:
Pr: 0.0000 0.0000 0.0000  6 Cu 3.21, 6 Ge 3.22
Nd: 0.1257 0.1257 0.6229  3 Ge 3.05, 3 Cu 3.06
Nd: 0.8743 0.8743 0.3771  3 Ge 3.05, 3 Cu 3.06
Cu: 0.5994 0.5994 0.2017  3 Ge 2.51
Cu: 0.4006 0.4006 0.7983  3 Ge 2.51
Ge: 0.7341 0.7341 0.7977  3 Cu 2.51
Ge: 0.2659 0.2659 0.2023  3 Cu 2.51

- electronic total energy (eV per atom) = -5.0193

***

Record 2
Compound: Pr2NdCu2Ge2
Source: Alexandria
Functional: GGA-PBE
Structure: relaxed

a b c (Å): 4.3323 4.3323 10.4751
angles (deg): 78.07 78.07 60.00
Last column: nearest neighbours and their distance in Å.
Fractional positions:
Pr: 0.1240 0.1240 0.6279  3 Ge 3.09, 3 Cu 3.11
Pr: 0.8760 0.8760 0.3721  3 Ge 3.09, 3 Cu 3.11
Nd: 0.0000 0.0000 0.0000  6 Cu 3.17, 6 Ge 3.18
Cu: 0.6030 0.6030 0.1911  3 Ge 2.50
Cu: 0.3970 0.3970 0.8089  3 Ge 2.50
Ge: 0.7312 0.7312 0.8063  3 Cu 2.50
Ge: 0.2688 0.2688 0.1937  3 Cu 2.50

- electronic total energy (eV per atom) = -5.0203

***

Record 3
Compound: Nd3CuGe6Pt2
Source: Alexandria
Functional: GGA-PBE
Structure: relaxed

a b c (Å): 5.9702 5.9702 8.2219
angles (deg): 90.00 90.00 120.00
Last column: nearest neighbours and their distance in Å.
Fractional positions:
Nd: 0.3333 0.6667 0.6396  9 Ge 3.05-3.25, 1 Pt 3.23
Nd: 0.6667 0.3333 0.3604  9 Ge 3.05-3.25, 1 Pt 3.23
Nd: 0.0000 0.0000 0.0000  6 Ge 3.07
Cu: 0.0000 0.0000 0.5000  6 Ge 2.58
Ge: 0.6280 0.8140 0.2910  1 Cu 2.58, 1 Pt 2.62, 2 Ge 2.64
Ge: 0.1860 0.3720 0.2910  1 Cu 2.58, 1 Pt 2.62, 2 Ge 2.64
Ge: 0.1860 0.8140 0.2910  1 Cu 2.58, 1 Pt 2.62, 2 Ge 2.64
Ge: 0.8140 0.6280 0.7090  1 Cu 2.58, 1 Pt 2.62, 2 Ge 2.64
Ge: 0.3720 0.1860 0.7090  1 Cu 2.58, 1 Pt 2.62, 2 Ge 2.64
Ge: 0.8140 0.1860 0.7090  1 Cu 2.58, 1 Pt 2.62, 2 Ge 2.64
Pt: 0.6667 0.3333 0.9675  3 Ge 2.62
Pt: 0.3333 0.6667 0.0325  3 Ge 2.62

- electronic total energy (eV per atom) = -5.2525

***

Record 4
Compound: Nd2Cu4Ge3Pt
Source: Alexandria
Functional: GGA-PBE
Structure: relaxed

a b c (Å): 4.2007 4.2007 10.1304
angles (deg): 90.00 90.00 90.00
Last column: nearest neighbours and their distance in Å.
Fractional positions:
Nd: 0.5000 0.0000 0.2484  8 Cu 3.19-3.28, 6 Ge 3.21-3.30, 2 Pt 3.30
Nd: 0.0000 0.5000 0.7516  8 Cu 3.19-3.28, 6 Ge 3.21-3.30, 2 Pt 3.30
Cu: 0.5000 0.5000 0.0000  4 Ge 2.47
Cu: 0.0000 0.0000 0.0000  4 Ge 2.47
Cu: 0.5000 0.0000 0.6381  3 Ge 2.37-2.52, 2 Pt 2.52
Cu: 0.0000 0.5000 0.3619  3 Ge 2.37-2.52, 2 Pt 2.52
Ge: 0.0000 0.0000 0.5000  4 Cu 2.52
Ge: 0.5000 0.0000 0.8717  5 Cu 2.37-2.47
Ge: 0.0000 0.5000 0.1283  5 Cu 2.37-2.47
Pt: 0.5000 0.5000 0.5000  4 Cu 2.52

- electronic total energy (eV per atom) = -5.0963

***

Record 5
Compound: Nd2CuGe4Pt3
Source: Alexandria
Functional: GGA-PBE
Structure: relaxed

a b c (Å): 4.3365 4.3365 10.1943
angles (deg): 90.00 90.00 90.00
Last column: nearest neighbours and their distance in Å.
Fractional positions:
Nd: 0.5000 0.0000 0.2556  8 Ge 3.28-3.39, 2 Cu 3.30, 6 Pt 3.30-3.34
Nd: 0.0000 0.5000 0.7444  8 Ge 3.28-3.39, 2 Cu 3.30, 6 Pt 3.30-3.34
Cu: 0.5000 0.5000 0.5000  4 Ge 2.54
Ge: 0.5000 0.5000 0.0000  4 Pt 2.52
Ge: 0.0000 0.0000 0.0000  4 Pt 2.52
Ge: 0.5000 0.0000 0.6299  3 Pt 2.48-2.54, 2 Cu 2.54
Ge: 0.0000 0.5000 0.3701  3 Pt 2.48-2.54, 2 Cu 2.54
Pt: 0.0000 0.0000 0.5000  4 Ge 2.54
Pt: 0.5000 0.0000 0.8733  5 Ge 2.48-2.52
Pt: 0.0000 0.5000 0.1267  5 Ge 2.48-2.52

- electronic total energy (eV per atom) = -5.8658

***

Record 6
Compound: Nd2CuGePt6
Source: Alexandria
Functional: GGA-PBE
Structure: relaxed

a b c (Å): 5.4832 8.4360 6.5790
angles (deg): 51.27 65.37 90.00
Last column: nearest neighbours and their distance in Å.
Fractional positions:
Nd: 0.7363 0.2027 0.5274  7 Pt 3.10-3.23, 2 Cu 3.43
Nd: 0.2637 0.7973 0.4726  7 Pt 3.10-3.23, 2 Cu 3.43
Cu: 0.0000 0.0000 0.0000  6 Pt 2.52-2.55
Ge: 0.5000 0.5000 0.0000  6 Pt 2.48-2.51
Pt: 0.2476 0.3987 0.5047  1 Ge 2.51, 1 Cu 2.52, 4 Pt 2.73-2.79
Pt: 0.7645 0.7517 0.9823  1 Ge 2.48, 1 Cu 2.55, 2 Pt 2.68-2.73
Pt: 0.2532 0.7517 0.9822  1 Ge 2.48, 1 Cu 2.55, 2 Pt 2.68-2.73
Pt: 0.7468 0.2483 0.0178  1 Ge 2.48, 1 Cu 2.55, 2 Pt 2.68-2.73
Pt: 0.2355 0.2483 0.0177  1 Ge 2.48, 1 Cu 2.55, 2 Pt 2.68-2.73
Pt: 0.7524 0.6013 0.4953  1 Ge 2.51, 1 Cu 2.52, 4 Pt 2.73-2.79

- electronic total energy (eV per atom) = -6.1707

***

Record 7
Compound: NdCuGePt3
Source: Alexandria
Functional: GGA-PBE
Structure: relaxed

a b c (Å): 5.7130 6.8854 6.7837
angles (deg): 120.50 90.00 90.00
Last column: nearest neighbours and their distance in Å.
Fractional positions:
Nd: 0.7500 0.2914 0.5827  1 Cu 2.80, 2 Ge 3.02
Nd: 0.2500 0.7086 0.4173  1 Cu 2.80, 2 Ge 3.02
Cu: 0.2500 0.9478 0.8957  5 Pt 2.51-2.60, 1 Nd 2.80
Cu: 0.7500 0.0522 0.1043  5 Pt 2.51-2.60, 1 Nd 2.80
Ge: 0.2500 0.3754 0.7509  5 Pt 2.40-2.51
Ge: 0.7500 0.6246 0.2491  5 Pt 2.40-2.51
Pt: 0.2500 0.1705 0.3411  1 Ge 2.40, 1 Cu 2.60
Pt: 0.0000 0.2864 0.0000  2 Cu 2.51, 2 Ge 2.51
Pt: 0.5000 0.7136 0.0000  2 Cu 2.51, 2 Ge 2.51
Pt: 0.5000 0.2864 0.0000  2 Cu 2.51, 2 Ge 2.51
Pt: 0.0000 0.7136 0.0000  2 Cu 2.51, 2 Ge 2.51
Pt: 0.7500 0.8295 0.6589  1 Ge 2.40, 1 Cu 2.60

- electronic total energy (eV per atom) = -5.8172

***

Record 8
Compound: Nd2CuGe3Pt4
Source: Alexandria
Functional: GGA-PBE
Structure: relaxed

a b c (Å): 4.3584 4.3584 10.0835
angles (deg): 90.00 90.00 90.00
Last column: nearest neighbours and their distance in Å.
Fractional positions:
Nd: 0.5000 0.0000 0.2602  6 Ge 3.26-3.34, 2 Cu 3.26, 8 Pt 3.28-3.41
Nd: 0.0000 0.5000 0.7398  6 Ge 3.26-3.34, 2 Cu 3.26, 8 Pt 3.28-3.41
Cu: 0.5000 0.5000 0.5000  4 Pt 2.53
Ge: 0.0000 0.0000 0.5000  4 Pt 2.53
Ge: 0.5000 0.0000 0.8687  5 Pt 2.43-2.55
Ge: 0.0000 0.5000 0.1313  5 Pt 2.43-2.55
Pt: 0.5000 0.5000 0.0000  4 Ge 2.55
Pt: 0.0000 0.0000 0.0000  4 Ge 2.55
Pt: 0.5000 0.0000 0.6273  3 Ge 2.43-2.53, 2 Cu 2.53
Pt: 0.0000 0.5000 0.3727  3 Ge 2.43-2.53, 2 Cu 2.53

- electronic total energy (eV per atom) = -6.0335

***

Record 9
Compound: NdPuCuGe
Source: Alexandria
Functional: GGA-PBE
Structure: relaxed

a b c (Å): 5.0788 5.0788 5.0788
angles (deg): 60.00 60.00 60.00
Last column: nearest neighbours and their distance in Å.
Fractional positions:
Ge: 0.0000 0.0000 0.0000  4 Pu 3.11, 4 Nd 3.11
Nd: 0.7500 0.7500 0.7500  4 Ge 3.11, 4 Cu 3.11
Cu: 0.5000 0.5000 0.5000  4 Nd 3.11, 4 Pu 3.11
Pu: 0.2500 0.2500 0.2500  4 Cu 3.11, 4 Ge 3.11

- electronic total energy (eV per atom) = -7.2463

***

Record 10
Compound: Nd3Cu2Ge6Rh
Source: Alexandria
Functional: GGA-PBE
Structure: relaxed

a b c (Å): 6.0605 6.0605 7.9671
angles (deg): 90.00 90.00 120.00
Last column: nearest neighbours and their distance in Å.
Fractional positions:
Nd: 0.3333 0.6667 0.6432  9 Ge 3.08-3.17, 1 Cu 3.09
Nd: 0.6667 0.3333 0.3568  9 Ge 3.08-3.17, 1 Cu 3.09
Nd: 0.0000 0.0000 0.0000  6 Ge 3.06
Cu: 0.6667 0.3333 0.9689  3 Ge 2.59
Cu: 0.3333 0.6667 0.0311  3 Ge 2.59
Ge: 0.6235 0.8118 0.2938  1 Rh 2.57, 1 Cu 2.59, 2 Ge 2.64
Ge: 0.1882 0.3765 0.2938  1 Rh 2.57, 1 Cu 2.59, 2 Ge 2.64
Ge: 0.1882 0.8118 0.2938  1 Rh 2.57, 1 Cu 2.59, 2 Ge 2.64
Ge: 0.8118 0.6235 0.7062  1 Rh 2.57, 1 Cu 2.59, 2 Ge 2.64
Ge: 0.3765 0.1882 0.7062  1 Rh 2.57, 1 Cu 2.59, 2 Ge 2.64
Ge: 0.8118 0.1882 0.7062  1 Rh 2.57, 1 Cu 2.59, 2 Ge 2.64
Rh: 0.0000 0.0000 0.5000  6 Ge 2.57

- electronic total energy (eV per atom) = -5.1527

***

Record 11
Compound: Nd2Cu3Ge4Ru
Source: Alexandria
Functional: GGA-PBE
Structure: relaxed

a b c (Å): 4.1526 4.1526 10.4203
angles (deg): 90.00 90.00 90.00
Last column: nearest neighbours and their distance in Å.
Fractional positions:
Nd: 0.5000 0.0000 0.2488  6 Cu 3.17-3.34, 8 Ge 3.19-3.32, 2 Ru 3.34
Nd: 0.0000 0.5000 0.7512  6 Cu 3.17-3.34, 8 Ge 3.19-3.32, 2 Ru 3.34
Cu: 0.0000 0.0000 0.5000  4 Ge 2.49
Cu: 0.5000 0.0000 0.8666  5 Ge 2.44-2.50
Cu: 0.0000 0.5000 0.1334  5 Ge 2.44-2.50
Ge: 0.5000 0.5000 0.0000  4 Cu 2.50
Ge: 0.0000 0.0000 0.0000  4 Cu 2.50
Ge: 0.5000 0.0000 0.6327  3 Cu 2.44-2.49, 2 Ru 2.49
Ge: 0.0000 0.5000 0.3673  3 Cu 2.44-2.49, 2 Ru 2.49
Ru: 0.5000 0.5000 0.5000  4 Ge 2.49

- electronic total energy (eV per atom) = -5.4527

***

Record 12
Compound: Nd2CuGeS5
Source: Alexandria
Functional: GGA-PBE
Structure: relaxed

a b c (Å): 4.0302 8.8019 11.1442
angles (deg): 90.00 90.00 103.23
Last column: nearest neighbours and their distance in Å.
Fractional positions:
Nd: 0.8782 0.7564 0.7954  8 S 2.94-3.18, 1 Cu 3.11
Nd: 0.1118 0.2235 0.6742  7 S 2.93-2.97, 2 Cu 3.21
Nd: 0.1218 0.2436 0.2954  8 S 2.94-3.18, 1 Cu 3.11
Nd: 0.8882 0.7765 0.1742  7 S 2.93-2.97, 2 Cu 3.21
Cu: 0.7492 0.4985 0.5996  3 S 2.25-2.27
Cu: 0.2508 0.5015 0.0996  3 S 2.25-2.27
Ge: 0.5914 0.1829 0.9682  5 S 2.40-2.60
Ge: 0.4086 0.8171 0.4682  5 S 2.40-2.60
S: 0.3604 0.7208 0.9882  1 Cu 2.25
S: 0.6933 0.3866 0.8187  1 Ge 2.41, 1 Cu 2.62
S: 0.5062 0.0125 0.7844  1 Ge 2.52
S: 0.3048 0.6097 0.6391  2 Cu 2.27
S: 0.9586 0.9172 0.5562  2 Ge 2.40
S: 0.6396 0.2792 0.4882  1 Cu 2.25
S: 0.3067 0.6134 0.3187  1 Ge 2.41, 1 Cu 2.62
S: 0.4938 0.9875 0.2844  1 Ge 2.52
S: 0.6952 0.3903 0.1391  2 Cu 2.27
S: 0.0414 0.0828 0.0562  2 Ge 2.40

- electronic total energy (eV per atom) = -5.5309
- formation energy from raw total energies (eV/atom) = -1.21

***

Record 13
Compound: NdScCuGe
Source: Alexandria
Functional: GGA-PBE
Structure: relaxed

a b c (Å): 4.9304 4.9304 4.9304
angles (deg): 60.00 60.00 60.00
Last column: nearest neighbours and their distance in Å.
Fractional positions:
Sc: 0.5000 0.5000 0.5000  4 Cu 3.02, 4 Ge 3.02
Ge: 0.2500 0.2500 0.2500  4 Nd 3.02, 4 Sc 3.02
Nd: 0.0000 0.0000 0.0000  4 Ge 3.02, 4 Cu 3.02
Cu: 0.7500 0.7500 0.7500  4 Sc 3.02, 4 Nd 3.02

- electronic total energy (eV per atom) = -5.3987

***

Record 14
Compound: Nd2ScCu3Ge4
Source: Alexandria
Functional: GGA-PBE
Structure: relaxed

a b c (Å): 4.2588 4.2588 10.6311
angles (deg): 90.00 90.00 90.00
Last column: nearest neighbours and their distance in Å.
Fractional positions:
Nd: 0.5000 0.0000 0.2320  6 Cu 3.23-3.56, 8 Ge 3.26, 2 Sc 3.56
Nd: 0.0000 0.5000 0.7680  6 Cu 3.23-3.56, 8 Ge 3.26, 2 Sc 3.56
Sc: 0.5000 0.5000 0.5000  4 Ge 2.66
Cu: 0.0000 0.0000 0.5000  4 Ge 2.66
Cu: 0.5000 0.0000 0.8781  5 Ge 2.42-2.49
Cu: 0.0000 0.5000 0.1219  5 Ge 2.42-2.49
Ge: 0.5000 0.5000 0.0000  4 Cu 2.49
Ge: 0.0000 0.0000 0.0000  4 Cu 2.49
Ge: 0.5000 0.0000 0.6505  3 Cu 2.42-2.66, 2 Sc 2.66
Ge: 0.0000 0.5000 0.3495  3 Cu 2.42-2.66, 2 Sc 2.66

- electronic total energy (eV per atom) = -5.2344

***

Record 15
Compound: NdScCu2Ge2
Source: Alexandria
Functional: GGA-PBE
Structure: relaxed

a b c (Å): 4.2477 4.2477 7.1607
angles (deg): 90.00 90.00 120.00
Last column: nearest neighbours and their distance in Å.
Fractional positions:
Nd: 0.0000 0.0000 0.0000  6 Ge 3.14, 6 Cu 3.30
Sc: 0.0000 0.0000 0.5000  6 Cu 2.81, 6 Ge 2.94
Cu: 0.3333 0.6667 0.6909  3 Ge 2.47
Cu: 0.6667 0.3333 0.3091  3 Ge 2.47
Ge: 0.3333 0.6667 0.2738  3 Cu 2.47
Ge: 0.6667 0.3333 0.7262  3 Cu 2.47

- electronic total energy (eV per atom) = -5.4173

***

Record 16
Compound: Nd3CuGeSe7
Source: Alexandria
Functional: GGA-PBE
Structure: relaxed

a b c (Å): 10.6485 10.6485 6.1594
angles (deg): 90.00 90.00 120.00
Last column: nearest neighbours and their distance in Å.
Fractional positions:
Nd: 0.3551 0.1296 0.2482  7 Se 2.96-3.21
Nd: 0.8704 0.2255 0.2482  7 Se 2.96-3.21
Nd: 0.7745 0.6449 0.2482  7 Se 2.96-3.21
Nd: 0.6449 0.8704 0.7482  7 Se 2.96-3.21
Nd: 0.2255 0.3551 0.7482  7 Se 2.96-3.21
Nd: 0.1296 0.7745 0.7482  7 Se 2.96-3.21
Cu: 0.0000 0.0000 0.7174  3 Se 2.39
Cu: 0.0000 0.0000 0.2174  3 Se 2.39
Ge: 0.6667 0.3333 0.8321  4 Se 2.36-2.40
Ge: 0.3333 0.6667 0.3321  4 Se 2.36-2.40
Se: 0.6667 0.3333 0.4493  1 Ge 2.36
Se: 0.4820 0.5804 0.4924  1 Ge 2.40
Se: 0.1621 0.2564 0.2280  1 Cu 2.39
Se: 0.9057 0.1621 0.7280  1 Cu 2.39
Se: 0.5804 0.0984 0.9924  1 Ge 2.40
Se: 0.3333 0.6667 0.9493  1 Ge 2.36
Se: 0.2564 0.0943 0.7280  1 Cu 2.39
Se: 0.4196 0.9016 0.4924  1 Ge 2.40
Se: 0.0943 0.8379 0.2280  1 Cu 2.39
Se: 0.5180 0.4196 0.9924  1 Ge 2.40
Se: 0.9016 0.4820 0.9924  1 Ge 2.40
Se: 0.0984 0.5180 0.4924  1 Ge 2.40
Se: 0.7436 0.9057 0.2280  1 Cu 2.39
Se: 0.8379 0.7436 0.7280  1 Cu 2.39

- electronic total energy (eV per atom) = -5.2669
- formation energy from raw total energies (eV/atom) = -1.32

***

Record 17
Compound: Nd2CuGeSe5
Source: Alexandria
Functional: GGA-PBE
Structure: relaxed

a b c (Å): 4.1598 9.2948 11.7658
angles (deg): 90.00 90.00 102.93
Last column: nearest neighbours and their distance in Å.
Fractional positions:
Nd: 0.8779 0.7557 0.7932  8 Se 3.06-3.31, 1 Cu 3.25
Nd: 0.1136 0.2272 0.6725  7 Se 3.04-3.12, 2 Cu 3.25
Nd: 0.1221 0.2443 0.2932  8 Se 3.06-3.31, 1 Cu 3.25
Nd: 0.8864 0.7728 0.1725  7 Se 3.04-3.12, 2 Cu 3.25
Cu: 0.7447 0.4894 0.6077  4 Se 2.39-2.60
Cu: 0.2553 0.5106 0.1077  4 Se 2.39-2.60
Ge: 0.5912 0.1825 0.9663  5 Se 2.56-2.72
Ge: 0.4088 0.8175 0.4663  5 Se 2.56-2.72
Se: 0.3606 0.7211 0.9857  1 Cu 2.39
Se: 0.6960 0.3920 0.8156  1 Ge 2.60, 1 Cu 2.60
Se: 0.5067 0.0134 0.7827  1 Ge 2.65
Se: 0.3073 0.6145 0.6360  2 Cu 2.39
Se: 0.9612 0.9223 0.5643  2 Ge 2.56
Se: 0.6394 0.2789 0.4857  1 Cu 2.39
Se: 0.3040 0.6080 0.3156  1 Ge 2.60, 1 Cu 2.60
Se: 0.4933 0.9866 0.2827  1 Ge 2.65
Se: 0.6927 0.3855 0.1360  2 Cu 2.39
Se: 0.0388 0.0777 0.0643  2 Ge 2.56

- electronic total energy (eV per atom) = -5.0671
- formation energy from raw total energies (eV/atom) = -1.10

***

Record 18
Compound: Nd2SmCu2Ge2
Source: Alexandria
Functional: GGA-PBE
Structure: relaxed

a b c (Å): 4.2976 4.2976 10.4912
angles (deg): 78.18 78.18 60.00
Last column: nearest neighbours and their distance in Å.
Fractional positions:
Nd: 0.1228 0.1228 0.6317  3 Ge 3.08, 3 Cu 3.12
Nd: 0.8772 0.8772 0.3683  3 Ge 3.08, 3 Cu 3.12
Sm: 0.0000 0.0000 0.0000  6 Cu 3.10, 6 Ge 3.15
Cu: 0.6057 0.6057 0.1829  3 Ge 2.48
Cu: 0.3943 0.3943 0.8171  3 Ge 2.48
Ge: 0.7300 0.7300 0.8101  3 Cu 2.48
Ge: 0.2700 0.2700 0.1899  3 Cu 2.48

- electronic total energy (eV per atom) = -5.0192

***

Record 19
Compound: NdSmCu2Ge2
Source: Alexandria
Functional: GGA-PBE
Structure: relaxed

a b c (Å): 4.2943 4.2943 7.7481
angles (deg): 90.00 90.00 120.00
Last column: nearest neighbours and their distance in Å.
Fractional positions:
Nd: 0.0000 0.0000 0.0000  6 Ge 3.16, 6 Cu 3.18
Sm: 0.0000 0.0000 0.5000  6 Cu 3.11, 6 Ge 3.13
Cu: 0.3333 0.6667 0.7434  3 Ge 2.48
Cu: 0.6667 0.3333 0.2566  3 Ge 2.48
Ge: 0.3333 0.6667 0.2537  3 Cu 2.48
Ge: 0.6667 0.3333 0.7463  3 Cu 2.48

- electronic total energy (eV per atom) = -5.1542

***

Record 20
Compound: SrNd2Cu2Ge2
Source: Alexandria
Functional: GGA-PBE
Structure: relaxed

a b c (Å): 4.4284 4.4284 10.2840
angles (deg): 77.57 77.57 60.00
Last column: nearest neighbours and their distance in Å.
Fractional positions:
Sr: 0.0000 0.0000 0.0000  6 Cu 3.38, 6 Ge 3.42
Nd: 0.1275 0.1275 0.6175  3 Ge 2.98, 3 Cu 3.02
Nd: 0.8725 0.8725 0.3825  3 Ge 2.98, 3 Cu 3.02
Cu: 0.5929 0.5929 0.2213  3 Ge 2.56
Cu: 0.4071 0.4071 0.7787  3 Ge 2.56
Ge: 0.7429 0.7429 0.7713  3 Cu 2.56
Ge: 0.2571 0.2571 0.2287  3 Cu 2.56

- electronic total energy (eV per atom) = -4.5411